The following is a DFT calculation (PBE-GGA) of an optimized crystal structure of RuS2F2.

Computed properties:
- size of the total moment (μB/cell) = 2.5
- DOS(E_F) (states/eV per cell) = 10.97
- energy above the most stable polymorph in this dataset (eV/f.u.) = 0.30
- formation energy without anion corrections (meV/atom) = -351

Cell: 5.506 5.506 5.415 Å, 90.00 90.00 90.00°
Space group P4/mbm (No. 127)
Inequivalent atoms, fractional coordinates:
Ru  0.000  0.000  0.000 [2 per cell]
S  0.123  0.377  0.500 [4 per cell]
F  0.179  0.679  0.000 [4 per cell]


The following is a DFT calculation (PBE-GGA) of an optimized crystal structure of AcEuInHg.

Computed properties:
- size of the total moment (μB/cell) = 29.1
- DOS(E_F) (states/eV per cell) = 37.03
- energy of formation (eV per atom) = -0.488

Cell: 8.040 8.040 8.040 Å, 90.00 90.00 90.00°
Space group F-43m (No. 216)
Inequivalent atoms, fractional coordinates:
Ac  0.000  0.000  0.000 [4 per cell]
Eu  0.000  0.000  0.500 [4 per cell]
In  0.250  0.250  0.750 [4 per cell]
Hg  0.250  0.250  0.250 [4 per cell]


The following is a DFT calculation (PBE-GGA) of an optimized crystal structure of La2Ta2O7.

Computed properties:
- size of the total moment (μB/cell) = 16.4
- DOS(E_F) (states/eV per cell) = 40.06
- formation energy without anion corrections (meV/atom) = -3005

Cell: 10.706 10.706 10.706 Å, 90.00 90.00 90.00°
Space group Fd-3m (No. 227, origin choice 2)
Inequivalent atoms, fractional coordinates:
La  0.000  0.000  0.000 [16 per cell]
Ta  0.000  0.000  0.500 [16 per cell]
O  0.080  0.375  0.875 [48 per cell]
O  0.125  0.125  0.125 [8 per cell]


The following is a DFT calculation (PBE-GGA) of an optimized crystal structure of Li2TeO4.

Computed properties:
- size of the total moment (μB/cell) = 0.0
- DOS(E_F) (states/eV per cell) = 0.00
- formation energy without anion corrections (meV/atom) = -1513

Cell: 10.822 3.108 5.150 Å, 90.00 110.15 90.00°
Space group C2/m (No. 12)
Inequivalent atoms, fractional coordinates:
Li  0.168  0.000  0.083 [4 per cell]
Te  0.000  0.500  0.500 [2 per cell]
O  0.086  0.000  0.372 [4 per cell]
O  0.137  0.500  0.843 [4 per cell]


The following is a DFT calculation (PBE-GGA) of an optimized crystal structure of Th2Si3AgPt12.

Computed properties:
- size of the total moment (μB/cell) = 0.0
- DOS(E_F) (states/eV per cell) = 23.31
- formation energy without anion corrections (meV/atom) = -493

Cell: 8.3549 8.3549 17.6645 Å, 90.00 90.00 120.00°
Space group R-3m (No. 166, hexagonal axes)
Inequivalent atoms, fractional coordinates:
Th  0.0000  0.0000  0.1115 [6 per cell]
Si  0.0000  0.5000  0.0000 [9 per cell]
Ag  0.0000  0.0000  0.5000 [3 per cell]
Pt  0.0169  0.5085  0.8681 [18 per cell]
Pt  0.0273  0.5136  0.3682 [18 per cell]


The following is a DFT calculation (PBE-GGA) of an optimized crystal structure of La3ThGe4.

Computed properties:
- size of the total moment (μB/cell) = 0.0
- DOS(E_F) (states/eV per cell) = 13.73
- energy of formation (eV per atom) = -0.658

Cell: 4.282 6.638 16.558 Å, 90.00 90.00 90.00°
Space group Immm (No. 71)
Inequivalent atoms, fractional coordinates:
La  0.000  0.000  0.000 [2 per cell]
La  0.000  0.500  0.195 [4 per cell]
Th  0.000  0.000  0.500 [2 per cell]
Ge  0.000  0.311  0.370 [8 per cell]


The following is a DFT calculation (PBE-GGA) of an optimized crystal structure of NpBr2Cl8.

Computed properties:
- size of the total moment (μB/cell) = 1.9
- DOS(E_F) (states/eV per cell) = 11.97
- formation energy without anion corrections (meV/atom) = -814

Cell: 14.527 7.668 8.055 Å, 90.00 94.47 90.00°
Space group C2/m (No. 12)
Inequivalent atoms, fractional coordinates:
Np  0.000  0.000  0.000 [2 per cell]
Br  0.244  0.500  0.585 [4 per cell]
Cl  0.058  0.000  0.299 [4 per cell]
Cl  0.102  0.500  0.476 [4 per cell]
Cl  0.113  0.226  0.943 [8 per cell]


The following is a DFT calculation (PBE-GGA) of an optimized crystal structure of ScAuSe2.

Computed properties:
- size of the total moment (μB/cell) = 0.0
- DOS(E_F) (states/eV per cell) = 0.00
- formation energy without anion corrections (meV/atom) = -967

Cell: 13.531 5.016 5.812 Å, 90.00 115.11 90.00°
Space group C2/m (No. 12)
Inequivalent atoms, fractional coordinates:
Sc  0.125  0.000  0.350 [4 per cell]
Au  0.119  0.500  0.042 [4 per cell]
Se  0.100  0.000  0.851 [4 per cell]
Se  0.153  0.500  0.515 [4 per cell]


The following is a DFT calculation (PBE-GGA) of an optimized crystal structure of YCd2W.

Computed properties:
- size of the total moment (μB/cell) = 0.0
- DOS(E_F) (states/eV per cell) = 12.34
- energy above the most stable polymorph in this dataset (eV/f.u.) = 0.68
- energy of formation (eV per atom) = 0.480

Cell: 3.0329 3.0329 31.7232 Å, 90.00 90.00 120.00°
Space group R-3m (No. 166, hexagonal axes)
Inequivalent atoms, fractional coordinates:
Y  0.0000  0.0000  0.0000 [3 per cell]
Cd  0.0000  0.0000  0.2434 [6 per cell]
W  0.0000  0.0000  0.5000 [3 per cell]


The following is a DFT calculation (PBE-GGA) of an optimized crystal structure of EuMgAl.

Computed properties:
- size of the total moment (μB/cell) = 14.7
- DOS(E_F) (states/eV per cell) = 13.91
- energy of formation (eV per atom) = -0.085

Cell: 3.572 3.572 12.188 Å, 90.00 90.00 90.00°
Space group I4mm (No. 107)
Inequivalent atoms, fractional coordinates:
Eu  0.000  0.000  0.000 [2 per cell]
Mg  0.000  0.000  0.703 [2 per cell]
Al  0.000  0.000  0.326 [2 per cell]


The following is a DFT calculation (PBE-GGA) of an optimized crystal structure of Pm2TlBi.

Computed properties:
- size of the total moment (μB/cell) = 0.0
- DOS(E_F) (states/eV per cell) = 2.94
- energy above the most stable polymorph in this dataset (eV/f.u.) = 0.27
- energy of formation (eV per atom) = -0.566

Cell: 4.125 4.125 7.060 Å, 90.00 90.00 90.00°
Space group P4/mmm (No. 123)
Inequivalent atoms, fractional coordinates:
Pm  0.000  0.000  0.245 [2 per cell]
Tl  0.500  0.500  0.500 [1 per cell]
Bi  0.500  0.500  0.000 [1 per cell]


The following is a DFT calculation (PBE-GGA) of an optimized crystal structure of CoMoOs.

Computed properties:
- size of the total moment (μB/cell) = 2.4
- DOS(E_F) (states/eV per cell) = 7.12
- energy above the most stable polymorph in this dataset (eV/f.u.) = 0.29
- energy of formation (eV per atom) = 0.109

Cell: 2.683 3.816 8.059 Å, 90.00 90.00 90.00°
Space group Imm2 (No. 44)
Inequivalent atoms, fractional coordinates:
Co  0.000  0.000  0.000 [2 per cell]
Mo  0.000  0.000  0.670 [2 per cell]
Os  0.000  0.000  0.344 [2 per cell]


Which value of size of the total moment does entry 12 give? 2.4 μB/cell


DOS(E_F) of number 3 (La2Ta2O7)? 40.06 states/eV per cell